[1]
LiPuPtO6 PBE optimized geometry; E = -7.385 eV per atom; symmetry = No. 163
1.0
5.2140 0.0000 0.0000
-2.6070 4.5155 0.0000
0.0000 0.0000 9.5857
Li Pu Pt O
2 2 2 12
direct
0.0000 0.0000 0.0000 Li
0.0000 0.0000 0.5000 Li
0.3333 0.6667 0.2500 Pu
0.6667 0.3333 0.7500 Pu
0.3333 0.6667 0.7500 Pt
0.6667 0.3333 0.2500 Pt
0.0006 0.3455 0.6343 O
0.0006 0.6551 0.8657 O
0.3449 0.3455 0.8657 O
0.3449 0.9994 0.6343 O
0.3455 0.0006 0.1343 O
0.3455 0.3449 0.3657 O
0.6545 0.6551 0.6343 O
0.6545 0.9994 0.8657 O
0.6551 0.0006 0.3657 O
0.6551 0.6545 0.1343 O
0.9994 0.3449 0.1343 O
0.9994 0.6545 0.3657 O


[2]
Li2PuPtO6 PBE optimized geometry; E = -6.983 eV per atom; symmetry = No. 99; DOS at the Fermi energy = 6.54 states/eV/f.u.
1.0
5.8208 0.0000 0.0000
0.0000 5.8208 0.0000
0.0000 0.0000 4.0769
Li Pu Pt O
2 1 1 6
direct
0.0000 0.5000 0.0000 Li
0.5000 0.0000 0.0000 Li
0.0000 0.0000 0.8819 Pu
0.5000 0.5000 0.8949 Pt
0.0000 0.0000 0.3852 O
0.2527 0.2527 0.9041 O
0.2527 0.7473 0.9041 O
0.5000 0.5000 0.3967 O
0.7473 0.2527 0.9041 O
0.7473 0.7473 0.9041 O


[3]
LiPu2PtO8 PBE optimized geometry; E = -8.107 eV per atom; symmetry = No. 119; DOS at the Fermi energy = 10.67 states/eV/f.u.
1.0
-2.5698 2.5698 5.2128
2.5698 -2.5698 5.2128
2.5698 2.5698 -5.2128
Li Pu Pt O
1 2 1 8
direct
0.0000 0.0000 0.0000 Li
0.5000 0.5000 0.0000 Pu
0.7500 0.2500 0.5000 Pu
0.2500 0.7500 0.5000 Pt
0.1297 0.1171 0.5059 O
0.1297 0.6238 0.0126 O
0.3762 0.3888 0.5059 O
0.3762 0.8703 0.9874 O
0.6112 0.1171 0.9874 O
0.6112 0.6238 0.4941 O
0.8829 0.3888 0.0126 O
0.8829 0.8703 0.4941 O


[4]
Li2PuPtO8 PBE optimized geometry; E = -6.466 eV per atom; symmetry = No. 119; DOS at the Fermi energy = 4.58 states/eV/f.u.
1.0
-3.2181 3.2181 3.7998
3.2181 -3.2181 3.7998
3.2181 3.2181 -3.7998
Li Pu Pt O
2 1 1 8
direct
0.0000 0.0000 0.0000 Li
0.7500 0.2500 0.5000 Li
0.5000 0.5000 0.0000 Pu
0.2500 0.7500 0.5000 Pt
0.1557 0.4381 0.7176 O
0.2123 0.0015 0.7892 O
0.2123 0.4232 0.2108 O
0.5619 0.2796 0.7176 O
0.5619 0.8443 0.2824 O
0.5768 0.7877 0.7892 O
0.7204 0.4381 0.2824 O
0.9985 0.7877 0.2108 O


[5]
RbLiPtO2 PBE optimized geometry; E = -4.864 eV per atom; symmetry = No. 10
1.0
3.3136 0.0000 0.0000
0.0000 3.7596 0.0000
-0.0079 0.0000 6.1438
Rb Li Pt O
1 1 1 2
direct
0.0000 0.0000 0.0000 Rb
0.5000 0.0000 0.5000 Li
0.0000 0.5000 0.5000 Pt
0.4995 0.5000 0.2934 O
0.5005 0.5000 0.7066 O


[6]
Li4PtRh3O8 PBE optimized geometry; E = -5.818 eV per atom; symmetry = No. 12; DOS at the Fermi energy = 0.27 states/eV/f.u.
1.0
5.2100 -3.0661 0.0000
5.2100 3.0661 0.0000
-2.9413 0.0000 5.0777
Li Pt Rh O
4 1 3 8
direct
0.0000 0.0000 0.0000 Li
0.0000 0.5000 0.5000 Li
0.5000 0.0000 0.5000 Li
0.5000 0.5000 0.0000 Li
0.0000 0.0000 0.5000 Pt
0.0000 0.5000 0.0000 Rh
0.5000 0.0000 0.0000 Rh
0.5000 0.5000 0.5000 Rh
0.2252 0.7350 0.2451 O
0.2650 0.7748 0.7549 O
0.2671 0.2671 0.2572 O
0.2705 0.2705 0.7810 O
0.7295 0.7295 0.2190 O
0.7329 0.7329 0.7428 O
0.7350 0.2252 0.2451 O
0.7748 0.2650 0.7549 O


> Which of these has the lowest E?

LiPu2PtO8


Copy entry 4 word for word.
Li2PuPtO8 PBE optimized geometry; E = -6.466 eV per atom; symmetry = No. 119; DOS at the Fermi energy = 4.58 states/eV/f.u.
1.0
-3.2181 3.2181 3.7998
3.2181 -3.2181 3.7998
3.2181 3.2181 -3.7998
Li Pu Pt O
2 1 1 8
direct
0.0000 0.0000 0.0000 Li
0.7500 0.2500 0.5000 Li
0.5000 0.5000 0.0000 Pu
0.2500 0.7500 0.5000 Pt
0.1557 0.4381 0.7176 O
0.2123 0.0015 0.7892 O
0.2123 0.4232 0.2108 O
0.5619 0.2796 0.7176 O
0.5619 0.8443 0.2824 O
0.5768 0.7877 0.7892 O
0.7204 0.4381 0.2824 O
0.9985 0.7877 0.2108 O


Please write out number 6 again, unchanged.
Li4PtRh3O8 PBE optimized geometry; E = -5.818 eV per atom; symmetry = No. 12; DOS at the Fermi energy = 0.27 states/eV/f.u.
1.0
5.2100 -3.0661 0.0000
5.2100 3.0661 0.0000
-2.9413 0.0000 5.0777
Li Pt Rh O
4 1 3 8
direct
0.0000 0.0000 0.0000 Li
0.0000 0.5000 0.5000 Li
0.5000 0.0000 0.5000 Li
0.5000 0.5000 0.0000 Li
0.0000 0.0000 0.5000 Pt
0.0000 0.5000 0.0000 Rh
0.5000 0.0000 0.0000 Rh
0.5000 0.5000 0.5000 Rh
0.2252 0.7350 0.2451 O
0.2650 0.7748 0.7549 O
0.2671 0.2671 0.2572 O
0.2705 0.2705 0.7810 O
0.7295 0.7295 0.2190 O
0.7329 0.7329 0.7428 O
0.7350 0.2252 0.2451 O
0.7748 0.2650 0.7549 O


> What is the E in the second record?

-6.983 eV per atom